Below is a crystal of ScTiI2O relaxed with PBEsol, with properties calculated at the meta-GGA SCAN level.

Values from the calculation:
D(E_F) (states/eV/atom): 0.480
Uncorrected formation energy (eV per atom): -1.111
Space group: P4/mmm, No. 123

abc: 3.8058 5.7585 5.7585
angles: 90.00 90.00 90.00
Last column: nearest neighbours and their distance in Å.
Positions (direct):
I 0.0000 0.0000 0.5000  2 Sc 2.88
I 0.0000 0.5000 0.0000  2 Sc 2.88
Sc 0.0000 0.0000 0.0000  2 O 1.90
O 0.5000 0.0000 0.0000  2 Sc 1.90
Ti 0.5000 0.5000 0.5000  8 I 3.45, 2 Ti 3.81

***

Below is a crystal of ScTlIO2 relaxed with PBEsol, with properties calculated at the meta-GGA SCAN level.

Values from the calculation:
D(E_F) (states/eV/atom): 0.264
Uncorrected formation energy (eV per atom): -1.431
Space group: P4/mmm, No. 123

abc: 4.2245 4.2245 5.8726
angles: 90.00 90.00 90.00
Last column: nearest neighbours and their distance in Å.
Positions (direct):
I 0.0000 0.0000 0.5000  2 Sc 2.94, 4 Tl 2.99
Sc 0.0000 0.0000 0.0000  4 O 2.11
Tl 0.5000 0.5000 0.5000  4 I 2.99
O 0.0000 0.5000 0.0000  2 Sc 2.11
O 0.5000 0.0000 0.0000  2 Sc 2.11

***

Below is a crystal of ZrScI2O relaxed with PBEsol, with properties calculated at the meta-GGA SCAN level.

Values from the calculation:
D(E_F) (states/eV/atom): 0.345
Uncorrected formation energy (eV per atom): -1.079
Space group: P4/mmm, No. 123

abc: 3.9171 5.7814 5.7814
angles: 90.00 90.00 90.00
Last column: nearest neighbours and their distance in Å.
Positions (direct):
I 0.0000 0.0000 0.5000  2 Zr 2.89
I 0.0000 0.5000 0.0000  2 Zr 2.89
Sc 0.5000 0.5000 0.5000  8 I 3.49
O 0.5000 0.0000 0.0000  2 Zr 1.96
Zr 0.0000 0.0000 0.0000  2 O 1.96

***

Below is a crystal of SeI2O2 relaxed with PBEsol, with properties calculated at the meta-GGA SCAN level.

Values from the calculation:
D(E_F) (states/eV/atom): 0.526
Uncorrected formation energy (eV per atom): 0.198
Space group: P4/mmm, No. 123

abc: 4.0305 4.0305 7.3257
angles: 90.00 90.00 90.00
Last column: nearest neighbours and their distance in Å.
Positions (direct):
I 0.0000 0.0000 0.0000  4 O 2.02
I 0.0000 0.0000 0.5000  4 Se 2.85
O 0.0000 0.5000 0.0000  2 I 2.02
O 0.5000 0.0000 0.0000  2 I 2.02
Se 0.5000 0.5000 0.5000  4 I 2.85

***

Below is a crystal of Se2IO2 relaxed with PBEsol, with properties calculated at the meta-GGA SCAN level.

Values from the calculation:
D(E_F) (states/eV/atom): 0.622
Uncorrected formation energy (eV per atom): 0.238
Space group: I4/mmm, No. 139

abc: 4.0917 4.0917 6.1718
angles: 109.36 109.36 90.00
Last column: nearest neighbours and their distance in Å.
Positions (direct):
I 0.0000 0.0000 0.0000  10 Se 3.37-3.56, 8 O 3.41
O 0.2500 0.7500 0.5000  4 Se 2.15
O 0.7500 0.2500 0.5000  4 Se 2.15
Se 0.3094 0.3094 0.6188  4 O 2.15
Se 0.6906 0.6906 0.3812  4 O 2.15

***

Below is a crystal of SeIO2 relaxed with PBEsol, with properties calculated at the meta-GGA SCAN level.

Values from the calculation:
D(E_F) (states/eV/atom): 0.322
Uncorrected formation energy (eV per atom): 0.013
Space group: Fd-3m, No. 227

abc: 6.1247 6.1247 6.1247
angles: 60.00 60.00 60.00
Last column: nearest neighbours and their distance in Å.
Positions (direct):
I 0.7500 0.7500 0.7500  12 O 3.59, 4 Se 3.75, 4 I 3.75
I 0.5000 0.5000 0.5000  12 O 3.59, 4 I 3.75, 4 Se 3.75
O 0.1250 0.1250 0.6250  2 Se 1.88
O 0.1250 0.1250 0.1250  2 Se 1.88
O 0.6250 0.1250 0.1250  2 Se 1.88
O 0.1250 0.6250 0.1250  2 Se 1.88
Se 0.2500 0.2500 0.2500  4 O 1.88
Se 0.0000 0.0000 0.0000  4 O 1.88